No. 1
LiCeAlCu | PBE | optimized geometry

Lattice parameters (Å, degrees): 4.6964 4.6964 4.6964 60.00 60.00 60.00
Positions (direct):
Li1 0.0000 0.0000 0.0000
Ce1 0.2500 0.2500 0.2500
Al1 0.7500 0.7500 0.7500
Cu1 0.5000 0.5000 0.5000

Properties
**E**: -16.5 eV per cell

=====

No. 2
CeMgAlCu2 | PBE | optimized geometry

Lattice parameters (Å, degrees): 6.3507 6.3507 6.3507 142.16 142.16 54.59
Positions (direct):
Ce1 0.0000 0.0000 0.0000
Mg1 0.7500 0.2500 0.5000
Al1 0.2500 0.7500 0.5000
Cu1 0.3914 0.3914 0.0000
Cu2 0.6086 0.6086 0.0000

Properties
**E**: -20.4 eV per cell

=====

No. 3
CeMgAlCu | PBE | optimized geometry

Lattice parameters (Å, degrees): 4.8651 4.8651 4.8651 60.00 60.00 60.00
Positions (direct):
Ce1 0.0000 0.0000 0.0000
Mg1 0.5000 0.5000 0.5000
Al1 0.7500 0.7500 0.7500
Cu1 0.2500 0.2500 0.2500

Properties
**E**: -16.1 eV per cell

=====

How do the records compare in energy of formation? In the order shown, they have -0.20; -0.19; -0.18 eV/atom.